Entry 1:
CeSmHg2: optimized geometry, PBE.

Final energy ... -12.166 eV per formula unit

Lattice parameters (Å, degrees): 3.7011 3.7011 29.5941 90.00 90.00 120.00
Space group R-3m (No. 166, hexagonal axes)
Symmetry-distinct sites (fractional):
Ce (0.0000, 0.0000, 0.0000) (multiplicity 3)
Sm (0.0000, 0.0000, 0.5000) (multiplicity 3)
Hg (0.0000, 0.0000, 0.2483) (multiplicity 6)

Entry 2:
ThHPt: optimized geometry, PBE.

Final energy ... -19.225 eV per formula unit

Lattice parameters (Å, degrees): 12.290 4.064 4.351 90.00 90.00 90.00
Space group Pnma (No. 62)
Symmetry-distinct sites (fractional):
Th (0.140, 0.250, 0.031) (multiplicity 4)
H (0.049, 0.750, 0.923) (multiplicity 4)
Pt (0.114, 0.750, 0.523) (multiplicity 4)

Entry 3:
TaOsPd2: optimized geometry, PBE.

Final energy ... -32.579 eV per formula unit

Lattice parameters (Å, degrees): 3.770 3.770 18.906 90.00 90.00 90.00
Space group I-42d (No. 122)
Symmetry-distinct sites (fractional):
Ta (0.000, 0.000, 0.000) (multiplicity 4)
Os (0.000, 0.000, 0.500) (multiplicity 4)
Pd (0.245, 0.250, 0.625) (multiplicity 8)

Entry 4:
Li3ThSc2Te6: optimized geometry, PBE.

ΔE_f (raw) ... -1.147 eV/atom

Lattice parameters (Å, degrees): 7.322 12.688 7.475 90.00 109.12 90.00
Space group C2/m (No. 12)
Symmetry-distinct sites (fractional):
Li (0.000, 0.000, 0.000) (multiplicity 2)
Li (0.000, 0.339, 0.000) (multiplicity 4)
Th (0.000, 0.500, 0.500) (multiplicity 2)
Sc (0.000, 0.167, 0.500) (multiplicity 4)
Te (0.235, 0.000, 0.753) (multiplicity 4)
Te (0.241, 0.175, 0.247) (multiplicity 8)

Across the entries above, mass density takes the values 9.81, 13.09, 14.43, 5.61 g/cm³, respectively.
Across the entries above, Fermi-level density of states takes the values 22.51, 4.28, 16.20, 9.07 states/eV per cell, respectively.